1.
PBE Li6SnHg12, relaxed; magnetization = 0.00 μB/cell; calculated total energy = -22.69 eV/f.u.; SG = R-3; formation energy = -189 meV/atom; polymorph energy (0 for the lowest one) = 0.0304 eV per atom
1.0
6.7857 3.9177 2.6016
-6.7857 3.9177 2.6016
0.0000 -7.8355 2.6016
Li Sn Hg
6 1 12
direct
0.0588 0.5758 0.3576
0.3576 0.0588 0.5758
0.4242 0.6424 0.9412
0.5758 0.3576 0.0588
0.6424 0.9412 0.4242
0.9412 0.4242 0.6424
0.0000 0.0000 0.0000
0.1281 0.1732 0.7392
0.1732 0.7392 0.1281
0.2001 0.3477 0.4865
0.2608 0.8719 0.8268
0.3477 0.4865 0.2001
0.4865 0.2001 0.3477
0.5135 0.7999 0.6523
0.6523 0.5135 0.7999
0.7392 0.1281 0.1732
0.7999 0.6523 0.5135
0.8268 0.2608 0.8719
0.8719 0.8268 0.2608

***

2.
PBE Li3SnHg3, relaxed; magnetization = 0.00 μB/cell; calculated total energy = -12.77 eV/f.u.; SG = Cmmm; formation energy = -302 meV/atom; polymorph energy (0 for the lowest one) = 0.0000 eV per atom
1.0
4.6010 -4.6367 0.0000
4.6010 4.6367 0.0000
0.0000 0.0000 6.6329
Li Sn Hg
6 2 6
direct
0.0000 0.0000 0.2499
0.0000 0.0000 0.7501
0.0000 0.5000 0.2473
0.0000 0.5000 0.7527
0.5000 0.0000 0.2473
0.5000 0.0000 0.7527
0.2727 0.2727 0.5000
0.7273 0.7273 0.5000
0.2543 0.7457 0.5000
0.2598 0.2598 0.0000
0.2629 0.7371 0.0000
0.7371 0.2629 0.0000
0.7402 0.7402 0.0000
0.7457 0.2543 0.5000

***

3.
PBE Li6SnHg, relaxed; magnetization = 0.00 μB/cell; calculated total energy = -18.51 eV/f.u.; SG = R-3m; formation energy = -340 meV/atom; polymorph energy (0 for the lowest one) = 0.0000 eV per atom
1.0
2.3267 1.3433 7.5308
-2.3267 1.3433 7.5308
0.0000 -2.6866 7.5308
Li Sn Hg
6 1 1
direct
0.1243 0.1243 0.1243
0.2423 0.2423 0.2423
0.3742 0.3742 0.3742
0.6258 0.6258 0.6258
0.7577 0.7577 0.7577
0.8757 0.8757 0.8757
0.5000 0.5000 0.5000
0.0000 0.0000 0.0000

***

4.
PBE Li2SnHg2, relaxed; magnetization = 0.00 μB/cell; calculated total energy = -9.76 eV/f.u.; SG = C2/m; formation energy = -265 meV/atom; polymorph energy (0 for the lowest one) = 0.0249 eV per atom
1.0
9.5620 0.0000 0.0000
0.0000 4.4555 0.0000
-4.5118 0.0000 4.9312
Li Sn Hg
4 2 4
direct
0.2095 0.0000 0.1211
0.2905 0.5000 0.8789
0.7095 0.5000 0.1211
0.7905 0.0000 0.8789
0.0000 0.0000 0.5000
0.5000 0.5000 0.5000
0.0794 0.5000 0.2771
0.4206 0.0000 0.7229
0.5794 0.0000 0.2771
0.9206 0.5000 0.7229

***

5.
PBE SrLiSnHg, relaxed; magnetization = 0.00 μB/cell; calculated total energy = -9.25 eV/f.u.; SG = Cm; formation energy = -337 meV/atom; polymorph energy (0 for the lowest one) = 0.0751 eV per atom
1.0
8.5258 0.0000 0.0000
0.0000 4.9193 0.0000
-0.0227 0.0000 5.2875
Sr Li Sn Hg
2 2 2 2
direct
0.0000 0.0000 0.0000
0.5000 0.5000 0.0000
0.3342 0.0000 0.2622
0.8342 0.5000 0.2622
0.1667 0.5000 0.4663
0.6667 0.0000 0.4663
0.3325 0.0000 0.7344
0.8325 0.5000 0.7344

***

6.
PBE SrLiSnHg, relaxed; magnetization = 0.00 μB/cell; calculated total energy = -9.55 eV/f.u.; SG = F-43m; formation energy = -412 meV/atom; polymorph energy (0 for the lowest one) = 0.0000 eV per atom
1.0
7.5596 0.0000 0.0000
0.0000 7.5596 0.0000
0.0000 0.0000 7.5596
Sr Li Sn Hg
4 4 4 4
direct
0.0000 0.0000 0.0000
0.0000 0.5000 0.5000
0.5000 0.0000 0.5000
0.5000 0.5000 0.0000
0.0000 0.0000 0.5000
0.0000 0.5000 0.0000
0.5000 0.0000 0.0000
0.5000 0.5000 0.5000
0.2500 0.2500 0.7500
0.2500 0.7500 0.2500
0.7500 0.2500 0.2500
0.7500 0.7500 0.7500
0.2500 0.2500 0.2500
0.2500 0.7500 0.7500
0.7500 0.2500 0.7500
0.7500 0.7500 0.2500

***

7.
PBE SrLi2Sn2Hg, relaxed; magnetization = 0.00 μB/cell; calculated total energy = -15.81 eV/f.u.; SG = P4/mmm; formation energy = -332 meV/atom
1.0
4.9270 0.0000 0.0000
0.0000 4.9270 0.0000
0.0000 0.0000 6.4482
Sr Li Sn Hg
1 2 2 1
direct
0.0000 0.0000 0.0000
0.0000 0.5000 0.5000
0.5000 0.0000 0.5000
0.5000 0.5000 0.2316
0.5000 0.5000 0.7684
0.0000 0.0000 0.5000

***

8.
PBE Sr2Li3Sn4Hg, relaxed; magnetization = 0.00 μB/cell; calculated total energy = -29.81 eV/f.u.; SG = P-4m2; formation energy = -439 meV/atom
1.0
4.6443 0.0000 0.0000
0.0000 4.6443 0.0000
0.0000 0.0000 11.9198
Sr Li Sn Hg
2 3 4 1
direct
0.0000 0.5000 0.2483
0.5000 0.0000 0.7517
0.0000 0.5000 0.8675
0.5000 0.0000 0.1325
0.5000 0.5000 0.5000
0.0000 0.0000 0.0000
0.0000 0.5000 0.6425
0.5000 0.0000 0.3575
0.5000 0.5000 0.0000
0.0000 0.0000 0.5000

***

9.
PBE SrLiSn2Hg2, relaxed; magnetization = 0.00 μB/cell; calculated total energy = -14.33 eV/f.u.; SG = P-3m1; formation energy = -353 meV/atom
1.0
4.8749 0.0000 0.0000
-2.4374 4.2218 0.0000
0.0000 0.0000 7.7171
Sr Li Sn Hg
1 1 2 2
direct
0.0000 0.0000 0.0000
0.0000 0.0000 0.5000
0.3333 0.6667 0.7449
0.6667 0.3333 0.2551
0.3333 0.6667 0.3211
0.6667 0.3333 0.6789

***

10.
PBE SrLiSn2Hg4, relaxed; magnetization = 0.00 μB/cell; calculated total energy = -15.12 eV/f.u.; SG = R-3m; formation energy = -289 meV/atom
1.0
2.5989 1.5005 8.7101
-2.5989 1.5005 8.7101
0.0000 -3.0009 8.7101
Sr Li Sn Hg
1 1 2 4
direct
0.0000 0.0000 0.0000
0.5000 0.5000 0.5000
0.2497 0.2497 0.2497
0.7503 0.7503 0.7503
0.1327 0.1327 0.1327
0.3876 0.3876 0.3876
0.6124 0.6124 0.6124
0.8673 0.8673 0.8673

***

11.
PBE SrLiSnHg2, relaxed; magnetization = 0.00 μB/cell; calculated total energy = -9.68 eV/f.u.; SG = P4/mmm; formation energy = -295 meV/atom
1.0
5.0535 0.0000 0.0000
0.0000 5.0535 0.0000
0.0000 0.0000 5.2190
Sr Li Sn Hg
1 1 1 2
direct
0.0000 0.0000 0.0000
0.5000 0.5000 0.5000
0.5000 0.5000 0.0000
0.0000 0.5000 0.5000
0.5000 0.0000 0.5000

***

12.
PBE LiSn2HgTe4, relaxed; magnetization = 0.00 μB/cell; calculated total energy = -25.45 eV/f.u.; SG = P2/m; uncorrected formation energy = -0.33 eV per atom
1.0
7.5672 0.0000 0.0000
0.0000 4.3351 0.0000
-2.5541 0.0000 7.1363
Li Sn Hg Te
1 2 1 4
direct
0.0000 0.0000 0.0000
0.0000 0.5000 0.5000
0.5000 0.0000 0.5000
0.5000 0.5000 0.0000
0.2361 0.5000 0.2402
0.2439 0.0000 0.7556
0.7561 0.0000 0.2444
0.7639 0.5000 0.7598

***

13.
PBE LiSnHg2Te4, relaxed; magnetization = 0.00 μB/cell; calculated total energy = -21.39 eV/f.u.; SG = I-42m; uncorrected formation energy = -0.29 eV per atom
1.0
6.5912 0.0000 0.0000
0.0000 6.5912 0.0000
0.0000 0.0000 13.3900
Li Sn Hg Te
2 2 4 8
direct
0.0000 0.0000 0.0000
0.5000 0.5000 0.5000
0.0000 0.0000 0.5000
0.5000 0.5000 0.0000
0.0000 0.5000 0.2500
0.0000 0.5000 0.7500
0.5000 0.0000 0.2500
0.5000 0.0000 0.7500
0.2365 0.2365 0.1237
0.2365 0.7635 0.8763
0.2635 0.2635 0.6237
0.2635 0.7365 0.3763
0.7365 0.2635 0.3763
0.7365 0.7365 0.6237
0.7635 0.2365 0.8763
0.7635 0.7635 0.1237

***

14.
PBE LiThSnHg, relaxed; magnetization = 0.00 μB/cell; calculated total energy = -14.99 eV/f.u.; SG = F-43m; formation energy = -338 meV/atom
1.0
7.4077 0.0000 0.0000
0.0000 7.4077 0.0000
0.0000 0.0000 7.4077
Li Th Sn Hg
4 4 4 4
direct
0.0000 0.0000 0.0000
0.0000 0.5000 0.5000
0.5000 0.0000 0.5000
0.5000 0.5000 0.0000
0.0000 0.0000 0.5000
0.0000 0.5000 0.0000
0.5000 0.0000 0.0000
0.5000 0.5000 0.5000
0.2500 0.2500 0.7500
0.2500 0.7500 0.2500
0.7500 0.2500 0.2500
0.7500 0.7500 0.7500
0.2500 0.2500 0.2500
0.2500 0.7500 0.7500
0.7500 0.2500 0.7500
0.7500 0.7500 0.2500

***

15.
PBE LiTiSnHg, relaxed; magnetization = 3.96 μB/cell; calculated total energy = -14.73 eV/f.u.; SG = F-43m; formation energy = -154 meV/atom
1.0
6.7734 0.0000 0.0000
0.0000 6.7734 0.0000
0.0000 0.0000 6.7734
Li Ti Sn Hg
4 4 4 4
direct
0.0000 0.0000 0.0000
0.0000 0.5000 0.5000
0.5000 0.0000 0.5000
0.5000 0.5000 0.0000
0.0000 0.0000 0.5000
0.0000 0.5000 0.0000
0.5000 0.0000 0.0000
0.5000 0.5000 0.5000
0.2500 0.2500 0.2500
0.2500 0.7500 0.7500
0.7500 0.2500 0.7500
0.7500 0.7500 0.2500
0.2500 0.2500 0.7500
0.2500 0.7500 0.2500
0.7500 0.2500 0.2500
0.7500 0.7500 0.7500

***

16.
PBE Li5TlSn2Hg2, relaxed; magnetization = 0.00 μB/cell; calculated total energy = -22.72 eV/f.u.; SG = P4/mbm; formation energy = -218 meV/atom
1.0
10.5989 0.0000 0.0000
0.0000 10.5989 0.0000
0.0000 0.0000 3.7384
Li Tl Sn Hg
10 2 4 4
direct
0.0000 0.5000 0.0000
0.0307 0.2111 0.0000
0.2111 0.9693 0.0000
0.2889 0.4693 0.0000
0.4693 0.7111 0.0000
0.5000 0.0000 0.0000
0.5307 0.2889 0.0000
0.7111 0.5307 0.0000
0.7889 0.0307 0.0000
0.9693 0.7889 0.0000
0.0000 0.0000 0.5000
0.5000 0.5000 0.5000
0.1698 0.6698 0.5000
0.3302 0.1698 0.5000
0.6698 0.8302 0.5000
0.8302 0.3302 0.5000
0.1328 0.3672 0.5000
0.3672 0.8672 0.5000
0.6328 0.1328 0.5000
0.8672 0.6328 0.5000

***

17.
PBE LiTl2SnHg2, relaxed; magnetization = 0.00 μB/cell; calculated total energy = -11.74 eV/f.u.; SG = Ibam; formation energy = -81 meV/atom
1.0
-3.1311 7.7380 3.3258
3.1311 -7.7380 3.3258
3.1311 7.7380 -3.3258
Li Tl Sn Hg
2 4 2 4
direct
0.2500 0.2500 0.0000
0.7500 0.7500 0.0000
0.1750 0.7145 0.8896
0.3250 0.2145 0.5395
0.6750 0.7855 0.4605
0.8250 0.2855 0.1104
0.2500 0.7500 0.5000
0.7500 0.2500 0.5000
0.1227 0.1988 0.3214
0.3773 0.6988 0.0761
0.6227 0.3012 0.9239
0.8773 0.8012 0.6786

***

18.
PBE LiSnHgW2, relaxed; magnetization = 0.00 μB/cell; calculated total energy = -22.78 eV/f.u.; SG = P4/mmm; formation energy = 1869 meV/atom
1.0
5.0096 0.0000 0.0000
0.0000 5.0096 0.0000
0.0000 0.0000 4.5619
Li Sn Hg W
1 1 1 2
direct
0.0000 0.0000 0.0000
0.0000 0.0000 0.5000
0.5000 0.5000 0.0000
0.0000 0.5000 0.5000
0.5000 0.0000 0.5000

***

19.
PBE Li2YSn2Hg2, relaxed; magnetization = 0.00 μB/cell; calculated total energy = -21.69 eV/f.u.; SG = R-3m; formation energy = -398 meV/atom
1.0
2.3328 1.3468 8.4035
-2.3328 1.3468 8.4035
0.0000 -2.6936 8.4035
Li Y Sn Hg
2 1 2 2
direct
0.1420 0.1420 0.1420
0.8580 0.8580 0.8580
0.0000 0.0000 0.0000
0.2667 0.2667 0.2667
0.7333 0.7333 0.7333
0.4417 0.4417 0.4417
0.5583 0.5583 0.5583

***

20.
PBE Li2ZnSnHg4, relaxed; magnetization = 0.00 μB/cell; calculated total energy = -11.66 eV/f.u.; SG = R-3m; formation energy = -168 meV/atom
1.0
2.4218 1.3982 8.3366
-2.4218 1.3982 8.3366
0.0000 -2.7965 8.3366
Li Zn Sn Hg
2 1 1 4
direct
0.2499 0.2499 0.2499
0.7501 0.7501 0.7501
0.0000 0.0000 0.0000
0.5000 0.5000 0.5000
0.1145 0.1145 0.1145
0.3695 0.3695 0.3695
0.6305 0.6305 0.6305
0.8855 0.8855 0.8855

***

21.
PBE LiZrSnHg, relaxed; magnetization = 0.00 μB/cell; calculated total energy = -15.68 eV/f.u.; SG = F-43m; formation energy = -228 meV/atom
1.0
6.9797 0.0000 0.0000
0.0000 6.9797 0.0000
0.0000 0.0000 6.9797
Li Zr Sn Hg
4 4 4 4
direct
0.0000 0.0000 0.0000
0.0000 0.5000 0.5000
0.5000 0.0000 0.5000
0.5000 0.5000 0.0000
0.0000 0.0000 0.5000
0.0000 0.5000 0.0000
0.5000 0.0000 0.0000
0.5000 0.5000 0.5000
0.2500 0.2500 0.7500
0.2500 0.7500 0.2500
0.7500 0.2500 0.2500
0.7500 0.7500 0.7500
0.2500 0.2500 0.2500
0.2500 0.7500 0.7500
0.7500 0.2500 0.7500
0.7500 0.7500 0.2500

***

22.
PBE Sr4Li2Hg3, relaxed; magnetization = 0.00 μB/cell; calculated total energy = -14.31 eV/f.u.; SG = C2/m; formation energy = -317 meV/atom
1.0
9.3168 -2.0941 0.0000
9.3168 2.0941 0.0000
-2.7302 0.0000 7.5406
Sr Li Hg
4 2 3
direct
0.0676 0.0676 0.3697
0.2612 0.2612 0.7794
0.7388 0.7388 0.2206
0.9324 0.9324 0.6303
0.0938 0.0938 0.9496
0.9062 0.9062 0.0504
0.3916 0.3916 0.2743
0.5000 0.5000 0.0000
0.6084 0.6084 0.7257

***

23.
PBE Sr7Li2Hg2, relaxed; magnetization = 0.00 μB/cell; calculated total energy = -17.22 eV/f.u.; SG = Cmmm; formation energy = -92 meV/atom
1.0
4.6750 -6.3811 0.0000
4.6750 6.3811 0.0000
0.0000 0.0000 8.2584
Sr Li Hg
7 2 2
direct
0.0000 0.0000 0.0000
0.0000 0.5000 0.2630
0.0000 0.5000 0.7370
0.5000 0.0000 0.2630
0.5000 0.0000 0.7370
0.5000 0.5000 0.2460
0.5000 0.5000 0.7540
0.1598 0.1598 0.5000
0.8402 0.8402 0.5000
0.2855 0.7145 0.0000
0.7145 0.2855 0.0000

***

24.
PBE SrLiHg2, relaxed; magnetization = 0.00 μB/cell; calculated total energy = -5.82 eV/f.u.; SG = P2/m; formation energy = -406 meV/atom
1.0
3.7715 0.0000 0.0000
0.0000 3.7035 0.0000
-0.0264 0.0000 7.3777
Sr Li Hg
1 1 2
direct
0.0000 0.0000 0.0000
0.0000 0.0000 0.5000
0.4981 0.5000 0.7047
0.5019 0.5000 0.2953